Computed, not measured: crystalline Cs3KCr2O8 at its relaxed geometry at the PBE with a Hubbard U level of DFT.

Cell lengths 6.4354, 6.4354, 8.4019 Å; angles 90.00, 90.00, 120.00 degrees
Site moments in Bohr magnetons follow the coordinates.
Element x y z (fractional)
1 O 0.8082 0.6163 0.7034  0.03
2 O 0.6163 0.8082 0.2966  0.03
3 O 0.3333 0.6667 0.0324  0.06
4 O 0.3837 0.1918 0.7034  0.03
5 O 0.1918 0.3837 0.2966  0.03
6 O 0.1918 0.8082 0.2966  0.03
7 O 0.6667 0.3333 0.9676  0.06
8 O 0.8082 0.1918 0.7034  0.03
9 Cs 0.6667 0.3333 0.3206  0.00
10 Cs 0.0000 0.0000 0.0000  0.00
11 Cs 0.3333 0.6667 0.6794  0.00
12 Cr 0.3333 0.6667 0.2290  -0.04
13 Cr 0.6667 0.3333 0.7710  -0.04
14 K 0.0000 0.0000 0.5000  0.00

Output
**Size of the total moment**: 0.29 μB per formula unit
**Calculated total energy**: -5.864 eV per atom
**Density**: 3.691 g/cm³
**Space-group type**: P-3m1